# Er2InNi2Rh5 PBE optimized geometry
data_Er2InNi2Rh5
_chemical_formula_sum 'Er4 In2 Ni4 Rh10'
_symmetry_space_group_name_H-M 'P 1'
_symmetry_Int_Tables_number 1
_symmetry_space_group_name_Hall 'P 1'
_cell_length_a 9.207
_cell_length_b 9.207
_cell_length_c 3.885
_cell_angle_alpha 90.00
_cell_angle_beta 90.00
_cell_angle_gamma 90.00
loop_
_atom_site_label
_atom_site_type_symbol
_atom_site_fract_x
_atom_site_fract_y
_atom_site_fract_z
Er1 Er 0.174 0.326 0.000
Er2 Er 0.326 0.826 0.000
Er3 Er 0.674 0.174 0.000
Er4 Er 0.826 0.674 0.000
In1 In 0.000 0.000 0.000
In2 In 0.500 0.500 0.000
Ni1 Ni 0.122 0.622 0.000
Ni2 Ni 0.378 0.122 0.000
Ni3 Ni 0.622 0.878 0.000
Ni4 Ni 0.878 0.378 0.000
Rh1 Rh 0.000 0.500 0.500
Rh2 Rh 0.071 0.789 0.500
Rh3 Rh 0.211 0.071 0.500
Rh4 Rh 0.289 0.571 0.500
Rh5 Rh 0.429 0.289 0.500
Rh6 Rh 0.500 0.000 0.500
Rh7 Rh 0.571 0.711 0.500
Rh8 Rh 0.711 0.429 0.500
Rh9 Rh 0.789 0.929 0.500
Rh10 Rh 0.929 0.211 0.500
# E (eV/atom): -6.547
# ΔH_f (0 K) (kcal/mol of atoms): -12.2
# Space group: P4/mbm, No. 127

***

# Er4InNiRu2 PBE optimized geometry
data_Er4InNiRu2
_chemical_formula_sum 'Er4 In1 Ni1 Ru2'
_symmetry_space_group_name_H-M 'P 1'
_symmetry_Int_Tables_number 1
_symmetry_space_group_name_Hall 'P 1'
_cell_length_a 8.476
_cell_length_b 8.476
_cell_length_c 8.476
_cell_angle_alpha 33.55
_cell_angle_beta 33.55
_cell_angle_gamma 33.55
loop_
_atom_site_label
_atom_site_type_symbol
_atom_site_fract_x
_atom_site_fract_y
_atom_site_fract_z
Er1 Er 0.117 0.117 0.117
Er2 Er 0.369 0.369 0.369
Er3 Er 0.631 0.631 0.631
Er4 Er 0.883 0.883 0.883
In1 In 0.500 0.500 0.500
Ni1 Ni 0.000 0.000 0.000
Ru1 Ru 0.249 0.249 0.249
Ru2 Ru 0.751 0.751 0.751
# E (eV/atom): -6.065
# ΔH_f (0 K) (kcal/mol of atoms): -9.2
# Space group: R-3m, No. 166

***

# ErScInNi PBE optimized geometry
data_ErScInNi
_chemical_formula_sum 'Er1 Sc1 In1 Ni1'
_symmetry_space_group_name_H-M 'P 1'
_symmetry_Int_Tables_number 1
_symmetry_space_group_name_Hall 'P 1'
_cell_length_a 4.925
_cell_length_b 4.925
_cell_length_c 4.925
_cell_angle_alpha 60.00
_cell_angle_beta 60.00
_cell_angle_gamma 60.00
loop_
_atom_site_label
_atom_site_type_symbol
_atom_site_fract_x
_atom_site_fract_y
_atom_site_fract_z
Er1 Er 0.000 0.000 0.000
Sc1 Sc 0.500 0.500 0.500
In1 In 0.250 0.250 0.250
Ni1 Ni 0.750 0.750 0.750
# E (eV/atom): -5.184
# ΔH_f (0 K) (kcal/mol of atoms): -7.6
# Space group: F-43m, No. 216

***

# ErZnInNi PBE optimized geometry
data_ErZnInNi
_chemical_formula_sum 'Er1 Zn1 In1 Ni1'
_symmetry_space_group_name_H-M 'P 1'
_symmetry_Int_Tables_number 1
_symmetry_space_group_name_Hall 'P 1'
_cell_length_a 4.683
_cell_length_b 4.683
_cell_length_c 4.683
_cell_angle_alpha 60.00
_cell_angle_beta 60.00
_cell_angle_gamma 60.00
loop_
_atom_site_label
_atom_site_type_symbol
_atom_site_fract_x
_atom_site_fract_y
_atom_site_fract_z
Er1 Er 0.000 0.000 0.000
Zn1 Zn 0.250 0.250 0.250
In1 In 0.500 0.500 0.500
Ni1 Ni 0.750 0.750 0.750
# E (eV/atom): -3.938
# ΔH_f (0 K) (kcal/mol of atoms): -8.0
# Space group: F-43m, No. 216

***

# ErNpIn6 PBE optimized geometry
data_ErNpIn6
_chemical_formula_sum 'Er1 Np1 In6'
_symmetry_space_group_name_H-M 'P 1'
_symmetry_Int_Tables_number 1
_symmetry_space_group_name_Hall 'P 1'
_cell_length_a 4.624
_cell_length_b 4.624
_cell_length_c 9.270
_cell_angle_alpha 90.00
_cell_angle_beta 90.00
_cell_angle_gamma 90.00
loop_
_atom_site_label
_atom_site_type_symbol
_atom_site_fract_x
_atom_site_fract_y
_atom_site_fract_z
Er1 Er 0.000 0.000 0.000
Np1 Np 0.000 0.000 0.500
In1 In 0.000 0.500 0.249
In2 In 0.000 0.500 0.751
In3 In 0.500 0.000 0.249
In4 In 0.500 0.000 0.751
In5 In 0.500 0.500 0.000
In6 In 0.500 0.500 0.500
# E (eV/atom): -4.439
# ΔH_f (0 K) (kcal/mol of atoms): -4.5
# Space group: P4/mmm, No. 123

***

# Er2NpIn9 PBE optimized geometry
data_Er2NpIn9
_chemical_formula_sum 'Er2 Np1 In9'
_symmetry_space_group_name_H-M 'P 1'
_symmetry_Int_Tables_number 1
_symmetry_space_group_name_Hall 'P 1'
_cell_length_a 4.620
_cell_length_b 4.620
_cell_length_c 13.900
_cell_angle_alpha 90.00
_cell_angle_beta 90.00
_cell_angle_gamma 90.00
loop_
_atom_site_label
_atom_site_type_symbol
_atom_site_fract_x
_atom_site_fract_y
_atom_site_fract_z
Er1 Er 0.000 0.000 0.165
Er2 Er 0.000 0.000 0.835
Np1 Np 0.000 0.000 0.500
In1 In 0.000 0.500 0.000
In2 In 0.000 0.500 0.333
In3 In 0.000 0.500 0.667
In4 In 0.500 0.000 0.000
In5 In 0.500 0.000 0.333
In6 In 0.500 0.000 0.667
In7 In 0.500 0.500 0.167
In8 In 0.500 0.500 0.500
In9 In 0.500 0.500 0.833
# E (eV/atom): -4.152
# ΔH_f (0 K) (kcal/mol of atoms): -6.0
# Space group: P4/mmm, No. 123

***

# ErNpIn PBE optimized geometry
data_ErNpIn
_chemical_formula_sum 'Er2 Np2 In2'
_symmetry_space_group_name_H-M 'P 1'
_symmetry_Int_Tables_number 1
_symmetry_space_group_name_Hall 'P 1'
_cell_length_a 8.388
_cell_length_b 8.388
_cell_length_c 5.239
_cell_angle_alpha 94.98
_cell_angle_beta 94.98
_cell_angle_gamma 24.43
loop_
_atom_site_label
_atom_site_type_symbol
_atom_site_fract_x
_atom_site_fract_y
_atom_site_fract_z
Er1 Er 0.092 0.092 0.318
Er2 Er 0.908 0.908 0.682
Np1 Np 0.243 0.243 0.841
Np2 Np 0.757 0.757 0.159
In1 In 0.424 0.424 0.180
In2 In 0.576 0.576 0.820
# E (eV/atom): -6.827
# ΔH_f (0 K) (kcal/mol of atoms): -1.8
# Space group: C2/m, No. 12

***

# Er2NpInO8 PBE optimized geometry
data_Er2NpInO8
_chemical_formula_sum 'Er2 Np1 In1 O8'
_symmetry_space_group_name_H-M 'P 1'
_symmetry_Int_Tables_number 1
_symmetry_space_group_name_Hall 'P 1'
_cell_length_a 4.999
_cell_length_b 6.935
_cell_length_c 5.000
_cell_angle_alpha 90.00
_cell_angle_beta 92.61
_cell_angle_gamma 90.00
loop_
_atom_site_label
_atom_site_type_symbol
_atom_site_fract_x
_atom_site_fract_y
_atom_site_fract_z
Er1 Er 0.000 0.241 0.000
Er2 Er 0.000 0.759 0.000
Np1 Np 0.500 0.500 0.500
In1 In 0.500 0.000 0.500
O1 O 0.202 0.000 0.203
O2 O 0.208 0.500 0.210
O3 O 0.314 0.278 0.687
O4 O 0.314 0.722 0.687
O5 O 0.686 0.278 0.313
O6 O 0.686 0.722 0.313
O7 O 0.792 0.500 0.790
O8 O 0.798 0.000 0.797
# E (eV/atom): -8.136
# Formation energy from raw total energies (meV per atom): -2763.5
# Space group: P2/m, No. 10

***

# ErNpIn2O8 PBE optimized geometry
data_ErNpIn2O8
_chemical_formula_sum 'Er1 Np1 In2 O8'
_symmetry_space_group_name_H-M 'P 1'
_symmetry_Int_Tables_number 1
_symmetry_space_group_name_Hall 'P 1'
_cell_length_a 5.032
_cell_length_b 5.032
_cell_length_c 6.751
_cell_angle_alpha 90.00
_cell_angle_beta 90.00
_cell_angle_gamma 91.11
loop_
_atom_site_label
_atom_site_type_symbol
_atom_site_fract_x
_atom_site_fract_y
_atom_site_fract_z
Er1 Er 0.000 0.000 0.000
Np1 Np 0.000 0.000 0.500
In1 In 0.500 0.500 0.243
In2 In 0.500 0.500 0.757
O1 O 0.183 0.817 0.276
O2 O 0.183 0.817 0.724
O3 O 0.298 0.298 0.500
O4 O 0.307 0.307 0.000
O5 O 0.693 0.693 0.000
O6 O 0.702 0.702 0.500
O7 O 0.817 0.183 0.276
O8 O 0.817 0.183 0.724
# E (eV/atom): -7.533
# Formation energy from raw total energies (meV per atom): -2312.5
# Space group: Cmmm, No. 65

***

# ErNp2In3Te6 PBE optimized geometry
data_ErNp2In3Te6
_chemical_formula_sum 'Er1 Np2 In3 Te6'
_symmetry_space_group_name_H-M 'P 1'
_symmetry_Int_Tables_number 1
_symmetry_space_group_name_Hall 'P 1'
_cell_length_a 7.660
_cell_length_b 7.660
_cell_length_c 8.533
_cell_angle_alpha 98.60
_cell_angle_beta 98.60
_cell_angle_gamma 119.98
loop_
_atom_site_label
_atom_site_type_symbol
_atom_site_fract_x
_atom_site_fract_y
_atom_site_fract_z
Er1 Er 0.000 0.000 0.000
Np1 Np 0.333 0.667 0.000
Np2 Np 0.667 0.333 0.000
In1 In 0.167 0.833 0.500
In2 In 0.500 0.500 0.500
In3 In 0.833 0.167 0.500
Te1 Te 0.073 0.402 0.219
Te2 Te 0.256 0.256 0.780
Te3 Te 0.402 0.073 0.219
Te4 Te 0.598 0.927 0.781
Te5 Te 0.744 0.744 0.220
Te6 Te 0.927 0.598 0.781
# E (eV/atom): -5.421
# Formation energy from raw total energies (meV per atom): -628.4
# Space group: C2/m, No. 12

***

# Er2NpIn3Te6 PBE optimized geometry
data_Er2NpIn3Te6
_chemical_formula_sum 'Er2 Np1 In3 Te6'
_symmetry_space_group_name_H-M 'P 1'
_symmetry_Int_Tables_number 1
_symmetry_space_group_name_Hall 'P 1'
_cell_length_a 7.637
_cell_length_b 7.637
_cell_length_c 8.504
_cell_angle_alpha 98.59
_cell_angle_beta 98.59
_cell_angle_gamma 119.86
loop_
_atom_site_label
_atom_site_type_symbol
_atom_site_fract_x
_atom_site_fract_y
_atom_site_fract_z
Er1 Er 0.166 0.834 0.000
Er2 Er 0.834 0.166 0.000
Np1 Np 0.500 0.500 0.000
In1 In 0.000 0.000 0.500
In2 In 0.335 0.665 0.500
In3 In 0.665 0.335 0.500
Te1 Te 0.088 0.427 0.781
Te2 Te 0.233 0.233 0.218
Te3 Te 0.427 0.088 0.781
Te4 Te 0.573 0.912 0.219
Te5 Te 0.767 0.767 0.782
Te6 Te 0.912 0.573 0.219
# E (eV/atom): -4.882
# Formation energy from raw total energies (meV per atom): -787.6
# Space group: C2/m, No. 12

***

# Er3InO6 PBE optimized geometry
data_Er3InO6
_chemical_formula_sum 'Er6 In2 O12'
_symmetry_space_group_name_H-M 'P 1'
_symmetry_Int_Tables_number 1
_symmetry_space_group_name_Hall 'P 1'
_cell_length_a 7.082
_cell_length_b 7.082
_cell_length_c 5.569
_cell_angle_alpha 90.00
_cell_angle_beta 90.00
_cell_angle_gamma 102.02
loop_
_atom_site_label
_atom_site_type_symbol
_atom_site_fract_x
_atom_site_fract_y
_atom_site_fract_z
Er1 Er 0.101 0.899 0.500
Er2 Er 0.187 0.411 0.445
Er3 Er 0.411 0.187 0.945
Er4 Er 0.589 0.813 0.445
Er5 Er 0.813 0.589 0.945
Er6 Er 0.899 0.101 0.000
In1 In 0.337 0.663 0.933
In2 In 0.663 0.337 0.433
O1 O 0.079 0.598 0.730
O2 O 0.143 0.178 0.725
O3 O 0.178 0.143 0.225
O4 O 0.278 0.722 0.287
O5 O 0.402 0.921 0.730
O6 O 0.484 0.516 0.653
O7 O 0.516 0.484 0.153
O8 O 0.598 0.079 0.230
O9 O 0.722 0.278 0.787
O10 O 0.822 0.857 0.725
O11 O 0.857 0.822 0.225
O12 O 0.921 0.402 0.230
# E (eV/atom): -7.673
# Formation energy from raw total energies (meV per atom): -3055.8
# Space group: Cmc2_1, No. 36
# Energy relative to the lowest polymorph listed for this composition (kJ per mole of atoms): 5.4